(1)
! LiGa2Ag | Alexandria via LeMat-Bulk | GGA-PBE | relaxed; values from VASP
&SYSTEM
  ibrav = 0, nat = 4, ntyp = 3
/
ATOMIC_SPECIES
Li 6.94 Li.upf
Ga 69.72 Ga.upf
Ag 107.87 Ag.upf
ATOMIC_POSITIONS crystal
Li 0.659 0.207 0.528
Ga 0.409 0.708 0.027
Ga 0.910 0.706 0.029
Ag 0.159 0.207 0.528
CELL_PARAMETERS angstrom
-1.782 4.093 -3.450
-3.460 0.709 -1.870
-2.112 4.226 1.472
! crystal system	triclinic
! spin magnetization	0.00	Bohr magnetons per cell


(2)
! LiGa2Ag | Alexandria via LeMat-Bulk | GGA-PBE | relaxed; values from VASP
&SYSTEM
  ibrav = 0, nat = 4, ntyp = 3
/
ATOMIC_SPECIES
Ga 69.72 Ga.upf
Ag 107.87 Ag.upf
Li 6.94 Li.upf
ATOMIC_POSITIONS crystal
Ga 0.000 0.713 0.713
Ga 0.000 0.287 0.287
Ag 0.000 0.500 0.500
Li 0.000 0.000 0.000
CELL_PARAMETERS angstrom
-0.407 -3.039 -5.859
0.737 -1.202 6.460
-2.590 2.745 5.430
! crystal system	orthorhombic
! spin magnetization	0.00	Bohr magnetons per cell


(3)
! LiGa2Ag | Alexandria via LeMat-Bulk | GGA-PBE | relaxed; values from VASP
&SYSTEM
  ibrav = 0, nat = 4, ntyp = 3
/
ATOMIC_SPECIES
Ga 69.72 Ga.upf
Li 6.94 Li.upf
Ag 107.87 Ag.upf
ATOMIC_POSITIONS crystal
Ga 0.000 0.000 0.255
Ga 0.000 0.000 0.745
Li 0.500 0.500 0.500
Ag 0.500 0.500 0.000
CELL_PARAMETERS angstrom
-2.517 -1.318 0.236
0.401 -0.263 2.810
-3.718 7.318 1.216
! crystal system	tetragonal
! spin magnetization	0.00	Bohr magnetons per cell


Stability, highest: (1)


(1)
! LiGa2Ag | Alexandria via LeMat-Bulk | GGA-PBE | relaxed; values from VASP
&SYSTEM
  ibrav = 0, nat = 16, ntyp = 3
/
ATOMIC_SPECIES
Ga 69.72 Ga.upf
Li 6.94 Li.upf
Ag 107.87 Ag.upf
ATOMIC_POSITIONS crystal
Ga 0.750 0.953 0.922
Ga 0.750 0.453 0.578
Ga 0.250 0.547 0.422
Ga 0.750 0.500 0.815
Ga 0.250 0.500 0.185
Ga 0.250 0.047 0.078
Ga 0.250 0.000 0.315
Ga 0.750 0.000 0.685
Li 0.250 0.686 0.679
Li 0.750 0.814 0.179
Li 0.250 0.186 0.821
Li 0.750 0.314 0.321
Ag 0.250 0.640 0.938
Ag 0.750 0.860 0.438
Ag 0.750 0.360 0.062
Ag 0.250 0.140 0.562
CELL_PARAMETERS angstrom
4.425 0.000 0.000
0.000 5.610 0.000
0.000 0.000 11.055
! crystal system	orthorhombic
! spin magnetization	0.00	Bohr magnetons per cell


(2)
! LiGa2Ag | Alexandria via LeMat-Bulk | GGA-PBE | relaxed; values from VASP
&SYSTEM
  ibrav = 0, nat = 4, ntyp = 3
/
ATOMIC_SPECIES
Ga 69.72 Ga.upf
Li 6.94 Li.upf
Ag 107.87 Ag.upf
ATOMIC_POSITIONS crystal
Ga 0.250 0.250 0.250
Ga 0.750 0.750 0.750
Li 0.000 0.000 0.000
Ag 0.500 0.500 0.500
CELL_PARAMETERS angstrom
1.459 -3.495 2.535
-2.772 -3.517 0.842
0.798 -4.046 -1.940
! crystal system	cubic
! spin magnetization	0.00	Bohr magnetons per cell


Stability, highest: (1)